# 1
Crystalline NdEr4Pb5 at its relaxed geometry. Source: Alexandria, functional GGA-PBE.

The structure in CIF format:
```
data_NdEr4Pb5
_chemical_formula_sum 'Nd2 Er8 Pb10'
_cell_length_a 9.957
_cell_length_b 9.957
_cell_length_c 6.300
_cell_angle_alpha 90.00
_cell_angle_beta 90.00
_cell_angle_gamma 90.00
_symmetry_space_group_name_H-M 'I 4'
_symmetry_Int_Tables_number 79
loop_
_symmetry_equiv_pos_as_xyz
'x,y,z'
'-y,x,z'
'-x,-y,z'
'y,-x,z'
'x+1/2,y+1/2,z+1/2'
'-y+1/2,x+1/2,z+1/2'
'-x+1/2,-y+1/2,z+1/2'
'y+1/2,-x+1/2,z+1/2'
loop_
_atom_site_label
_atom_site_fract_x
_atom_site_fract_y
_atom_site_fract_z
Nd1 0.000 0.000 0.000
Er1 0.104 0.703 0.498
Pb1 0.000 0.000 0.500
Pb2 0.098 0.693 0.998
```

Summary:
E_form, eV per atom: -0.31

# 2
Crystalline RbIr3Pd at its relaxed geometry. Source: Alexandria, functional GGA-PBE.

The structure in CIF format:
```
data_RbIr3Pd
_chemical_formula_sum 'Rb1 Ir3 Pd1'
_cell_length_a 4.814
_cell_length_b 4.814
_cell_length_c 4.814
_cell_angle_alpha 90.00
_cell_angle_beta 90.00
_cell_angle_gamma 90.00
_symmetry_space_group_name_H-M 'P m -3 m'
_symmetry_Int_Tables_number 221
_symmetry_space_group_name_Hall '-P 4 2 3'
loop_
_atom_site_label
_atom_site_fract_x
_atom_site_fract_y
_atom_site_fract_z
Rb1 0.000 0.000 0.000
Ir1 0.000 0.000 0.500
Pd1 0.500 0.500 0.500
```

Summary:
E_form, eV per atom: 3.34

# 3
Crystalline RhCl3 at its relaxed geometry. Source: Alexandria, functional GGA-PBE.

The structure in CIF format:
```
data_RhCl3
_chemical_formula_sum 'Rh3 Cl9'
_cell_length_a 7.9200
_cell_length_b 7.9200
_cell_length_c 4.3202
_cell_angle_alpha 90.00
_cell_angle_beta 90.00
_cell_angle_gamma 120.00
_symmetry_space_group_name_H-M 'R -3 m'
_symmetry_Int_Tables_number 166
_symmetry_space_group_name_Hall '-R 3 2"'
loop_
_atom_site_label
_atom_site_fract_x
_atom_site_fract_y
_atom_site_fract_z
Rh1 0.0000 0.0000 0.0000
Cl1 0.0000 0.5000 0.0000
```

Summary:
Formation energy (no corrections), eV/atom: 0.61

# 4
Crystalline TaMnTc2 at its relaxed geometry. Source: Alexandria, functional GGA-PBE.

The structure in CIF format:
```
data_TaMnTc2
_chemical_formula_sum 'Ta2 Mn2 Tc4'
_cell_length_a 3.158
_cell_length_b 4.363
_cell_length_c 8.720
_cell_angle_alpha 90.00
_cell_angle_beta 90.00
_cell_angle_gamma 90.00
_symmetry_space_group_name_H-M 'I m m 2'
_symmetry_Int_Tables_number 44
loop_
_symmetry_equiv_pos_as_xyz
'x,y,z'
'-x,-y,z'
'-x,y,z'
'x,-y,z'
'x+1/2,y+1/2,z+1/2'
'-x+1/2,-y+1/2,z+1/2'
'-x+1/2,y+1/2,z+1/2'
'x+1/2,-y+1/2,z+1/2'
loop_
_atom_site_label
_atom_site_fract_x
_atom_site_fract_y
_atom_site_fract_z
Ta1 0.000 0.000 0.000
Mn1 0.000 0.500 0.245
Tc1 0.000 0.000 0.494
Tc2 0.000 0.500 0.748
```

Summary:
E_form, eV per atom: -0.10

# 5
Crystalline BaAl3Si at its relaxed geometry. Source: Alexandria, functional GGA-PBE.

The structure in CIF format:
```
data_BaAl3Si
_chemical_formula_sum 'Ba1 Al3 Si1'
_cell_length_a 5.049
_cell_length_b 5.049
_cell_length_c 5.049
_cell_angle_alpha 90.00
_cell_angle_beta 90.00
_cell_angle_gamma 90.00
_symmetry_space_group_name_H-M 'P m -3 m'
_symmetry_Int_Tables_number 221
_symmetry_space_group_name_Hall '-P 4 2 3'
loop_
_atom_site_label
_atom_site_fract_x
_atom_site_fract_y
_atom_site_fract_z
Ba1 0.000 0.000 0.000
Al1 0.000 0.500 0.500
Si1 0.500 0.500 0.500
```

Summary:
Formation energy (no corrections), eV/atom: 0.24

# 6
Crystalline Zr2ScSe at its relaxed geometry. Source: Alexandria, functional GGA-PBE.

The structure in CIF format:
```
data_Zr2ScSe
_chemical_formula_sum 'Zr2 Sc1 Se1'
_cell_length_a 3.625
_cell_length_b 4.458
_cell_length_c 5.609
_cell_angle_alpha 90.00
_cell_angle_beta 108.78
_cell_angle_gamma 90.00
_symmetry_space_group_name_H-M 'P 1 m 1'
_symmetry_Int_Tables_number 6
loop_
_symmetry_equiv_pos_as_xyz
'x,y,z'
'x,-y,z'
loop_
_atom_site_label
_atom_site_fract_x
_atom_site_fract_y
_atom_site_fract_z
Zr1 0.000 0.000 0.000
Zr2 0.441 0.500 0.882
Sc1 0.710 0.500 0.420
Se1 0.273 0.000 0.544
```

Summary:
Formation energy (no corrections), eV/atom: -0.50

# 7
Crystalline Pr3Gd at its relaxed geometry. Source: Alexandria, functional GGA-PBE.

The structure in CIF format:
```
data_Pr3Gd
_chemical_formula_sum 'Pr6 Gd2'
_cell_length_a 3.718
_cell_length_b 11.936
_cell_length_c 6.442
_cell_angle_alpha 90.00
_cell_angle_beta 90.00
_cell_angle_gamma 90.00
_symmetry_space_group_name_H-M 'I m m 2'
_symmetry_Int_Tables_number 44
loop_
_symmetry_equiv_pos_as_xyz
'x,y,z'
'-x,-y,z'
'-x,y,z'
'x,-y,z'
'x+1/2,y+1/2,z+1/2'
'-x+1/2,-y+1/2,z+1/2'
'-x+1/2,y+1/2,z+1/2'
'x+1/2,-y+1/2,z+1/2'
loop_
_atom_site_label
_atom_site_fract_x
_atom_site_fract_y
_atom_site_fract_z
Pr1 0.000 0.000 0.000
Pr2 0.000 0.250 0.667
Gd1 0.000 0.500 0.000
```

Summary:
E_form, eV per atom: 0.02

# 8
Crystalline AcCu2SnN at its relaxed geometry. Source: Alexandria, functional GGA-PBE.

The structure in CIF format:
```
data_AcCu2SnN
_chemical_formula_sum 'Ac4 Cu8 Sn4 N4'
_cell_length_a 3.903
_cell_length_b 13.295
_cell_length_c 7.235
_cell_angle_alpha 90.00
_cell_angle_beta 90.00
_cell_angle_gamma 90.00
_symmetry_space_group_name_H-M 'C m c m'
_symmetry_Int_Tables_number 63
_symmetry_space_group_name_Hall '-C 2c 2'
loop_
_atom_site_label
_atom_site_fract_x
_atom_site_fract_y
_atom_site_fract_z
Ac1 0.000 0.040 0.250
Cu1 0.000 0.357 0.066
Sn1 0.000 0.238 0.750
N1 0.000 0.500 0.000
```

Summary:
Formation energy (no corrections), eV/atom: -0.40

# 9
Crystalline Sc5Pb3 at its relaxed geometry. Source: Alexandria, functional GGA-PBE.

The structure in CIF format:
```
data_Sc5Pb3
_chemical_formula_sum 'Sc10 Pb6'
_cell_length_a 7.669
_cell_length_b 10.476
_cell_length_c 4.855
_cell_angle_alpha 90.00
_cell_angle_beta 90.00
_cell_angle_gamma 90.00
_symmetry_space_group_name_H-M 'C m m m'
_symmetry_Int_Tables_number 65
_symmetry_space_group_name_Hall '-C 2 2'
loop_
_atom_site_label
_atom_site_fract_x
_atom_site_fract_y
_atom_site_fract_z
Sc1 0.000 0.000 0.000
Sc2 0.209 0.500 0.500
Sc3 0.250 0.250 0.000
Pb1 0.000 0.199 0.500
Pb2 0.000 0.500 0.000
```

Summary:
E_form, eV per atom: -0.35

# 10
Crystalline SrTl2Sb2 at its relaxed geometry. Source: Alexandria, functional GGA-PBE.

The structure in CIF format:
```
data_SrTl2Sb2
_chemical_formula_sum 'Sr2 Tl4 Sb4'
_cell_length_a 8.419
_cell_length_b 8.419
_cell_length_c 4.901
_cell_angle_alpha 90.00
_cell_angle_beta 90.00
_cell_angle_gamma 90.00
_symmetry_space_group_name_H-M 'P 4/m b m'
_symmetry_Int_Tables_number 127
_symmetry_space_group_name_Hall '-P 4 2ab'
loop_
_atom_site_label
_atom_site_fract_x
_atom_site_fract_y
_atom_site_fract_z
Sr1 0.000 0.000 0.000
Tl1 0.165 0.335 0.500
Sb1 0.120 0.620 0.000
```

Summary:
Formation energy (no corrections), eV/atom: -0.29

# 11
Crystalline V3GeB at its relaxed geometry. Source: Alexandria, functional GGA-PBE.

The structure in CIF format:
```
data_V3GeB
_chemical_formula_sum 'V3 Ge1 B1'
_cell_length_a 4.032
_cell_length_b 4.032
_cell_length_c 4.032
_cell_angle_alpha 90.00
_cell_angle_beta 90.00
_cell_angle_gamma 90.00
_symmetry_space_group_name_H-M 'P m -3 m'
_symmetry_Int_Tables_number 221
_symmetry_space_group_name_Hall '-P 4 2 3'
loop_
_atom_site_label
_atom_site_fract_x
_atom_site_fract_y
_atom_site_fract_z
V1 0.000 0.000 0.500
Ge1 0.500 0.500 0.500
B1 0.000 0.000 0.000
```

Summary:
E_form, eV per atom: -0.09

# 12
Crystalline La4Nd3YTe8 at its relaxed geometry. Source: Alexandria, functional GGA-PBE.

The structure in CIF format:
```
data_La4Nd3YTe8
_chemical_formula_sum 'La12 Nd9 Y3 Te24'
_cell_length_a 9.0675
_cell_length_b 9.0675
_cell_length_c 22.0844
_cell_angle_alpha 90.00
_cell_angle_beta 90.00
_cell_angle_gamma 120.00
_symmetry_space_group_name_H-M 'R -3 m'
_symmetry_Int_Tables_number 166
_symmetry_space_group_name_Hall '-R 3 2"'
loop_
_atom_site_label
_atom_site_fract_x
_atom_site_fract_y
_atom_site_fract_z
La1 0.0000 0.0000 0.0000
La2 0.0000 0.5000 0.0000
Nd1 0.0000 0.5000 0.5000
Y1 0.0000 0.0000 0.5000
Te1 0.0000 0.0000 0.2484
Te2 0.0053 0.5027 0.2471
```

Summary:
Formation energy (no corrections), eV/atom: -1.49

# 13
Crystalline TiAl2Cr3C2 at its relaxed geometry. Source: Alexandria, functional GGA-PBE.

The structure in CIF format:
```
data_TiAl2Cr3C2
_chemical_formula_sum 'Ti1 Al2 Cr3 C2'
_cell_length_a 2.8983
_cell_length_b 2.8983
_cell_length_c 12.9177
_cell_angle_alpha 90.00
_cell_angle_beta 90.00
_cell_angle_gamma 120.00
_symmetry_space_group_name_H-M 'P 3 m 1'
_symmetry_Int_Tables_number 156
loop_
_symmetry_equiv_pos_as_xyz
'x,y,z'
'-y,x-y,z'
'-x+y,-x,z'
'-y,-x,z'
'-x+y,y,z'
'x,x-y,z'
loop_
_atom_site_label
_atom_site_fract_x
_atom_site_fract_y
_atom_site_fract_z
Ti1 0.0000 0.0000 0.0000
Al1 0.0000 0.0000 0.6619
Al2 0.6667 0.3333 0.1789
Cr1 0.0000 0.0000 0.3387
Cr2 0.6667 0.3333 0.5014
Cr3 0.6667 0.3333 0.8245
C1 0.3333 0.6667 0.4199
C2 0.3333 0.6667 0.9044
```

Summary:
E_form, eV per atom: -0.32

# 14
Crystalline Sm4GaC at its relaxed geometry. Source: Alexandria, functional GGA-PBE.

The structure in CIF format:
```
data_Sm4GaC
_chemical_formula_sum 'Sm16 Ga4 C4'
_cell_length_a 5.109
_cell_length_b 18.213
_cell_length_c 6.794
_cell_angle_alpha 90.00
_cell_angle_beta 90.00
_cell_angle_gamma 90.00
_symmetry_space_group_name_H-M 'C m c 21'
_symmetry_Int_Tables_number 36
loop_
_symmetry_equiv_pos_as_xyz
'x,y,z'
'-x,-y,z+1/2'
'-x,y,z'
'x,-y,z+1/2'
'x+1/2,y+1/2,z'
'-x+1/2,-y+1/2,z+1/2'
'-x+1/2,y+1/2,z'
'x+1/2,-y+1/2,z+1/2'
loop_
_atom_site_label
_atom_site_fract_x
_atom_site_fract_y
_atom_site_fract_z
Sm1 0.000 0.034 0.000
Sm2 0.000 0.174 0.373
Sm3 0.000 0.199 0.867
Sm4 0.000 0.414 0.134
Ga1 0.000 0.367 0.617
C1 0.000 0.090 0.653
```

Summary:
E_form, eV per atom: -0.20

# 15
Crystalline Be2InI at its relaxed geometry. Source: Alexandria, functional GGA-PBE.

The structure in CIF format:
```
data_Be2InI
_chemical_formula_sum 'Be8 In4 I4'
_cell_length_a 6.861
_cell_length_b 6.861
_cell_length_c 6.861
_cell_angle_alpha 90.00
_cell_angle_beta 90.00
_cell_angle_gamma 90.00
_symmetry_space_group_name_H-M 'F m -3 m'
_symmetry_Int_Tables_number 225
_symmetry_space_group_name_Hall '-F 4 2 3'
loop_
_atom_site_label
_atom_site_fract_x
_atom_site_fract_y
_atom_site_fract_z
Be1 0.250 0.250 0.250
In1 0.000 0.000 0.000
I1 0.000 0.000 0.500
```

Summary:
Formation energy (no corrections), eV/atom: 1.09

# 16
Crystalline PaCoRuAu at its relaxed geometry. Source: Alexandria, functional GGA-PBE.

The structure in CIF format:
```
data_PaCoRuAu
_chemical_formula_sum 'Pa4 Co4 Ru4 Au4'
_cell_length_a 6.478
_cell_length_b 6.478
_cell_length_c 6.478
_cell_angle_alpha 90.00
_cell_angle_beta 90.00
_cell_angle_gamma 90.00
_symmetry_space_group_name_H-M 'F -4 3 m'
_symmetry_Int_Tables_number 216
_symmetry_space_group_name_Hall 'F -4 2 3'
loop_
_atom_site_label
_atom_site_fract_x
_atom_site_fract_y
_atom_site_fract_z
Pa1 0.000 0.000 0.000
Co1 0.250 0.250 0.250
Ru1 0.250 0.250 0.750
Au1 0.000 0.000 0.500
```

Summary:
E_form, eV per atom: -0.17

# 17
Crystalline Sm2TlPb at its relaxed geometry. Source: Alexandria, functional GGA-PBE.

The structure in CIF format:
```
data_Sm2TlPb
_chemical_formula_sum 'Sm6 Tl3 Pb3'
_cell_length_a 3.9213
_cell_length_b 3.9213
_cell_length_c 28.4296
_cell_angle_alpha 90.00
_cell_angle_beta 90.00
_cell_angle_gamma 120.00
_symmetry_space_group_name_H-M 'R -3 m'
_symmetry_Int_Tables_number 166
_symmetry_space_group_name_Hall '-R 3 2"'
loop_
_atom_site_label
_atom_site_fract_x
_atom_site_fract_y
_atom_site_fract_z
Sm1 0.0000 0.0000 0.2500
Tl1 0.0000 0.0000 0.0000
Pb1 0.0000 0.0000 0.5000
```

Summary:
E_form, eV per atom: -0.32

# 18
Crystalline Cd12Ge3Sb5 at its relaxed geometry. Source: Alexandria, functional GGA-PBE.

The structure in CIF format:
```
data_Cd12Ge3Sb5
_chemical_formula_sum 'Cd96 Ge24 Sb40'
_cell_length_a 16.618
_cell_length_b 16.618
_cell_length_c 16.618
_cell_angle_alpha 90.00
_cell_angle_beta 90.00
_cell_angle_gamma 90.00
_symmetry_space_group_name_H-M 'I a -3 d'
_symmetry_Int_Tables_number 230
_symmetry_space_group_name_Hall '-I 4bd 2c 3'
loop_
_atom_site_label
_atom_site_fract_x
_atom_site_fract_y
_atom_site_fract_z
Cd1 0.022 0.088 0.651
Ge1 0.000 0.250 0.125
Sb1 0.000 0.000 0.000
Sb2 0.000 0.250 0.375
```

Summary:
Formation energy (no corrections), eV/atom: 0.10

# 19
Crystalline Ga5Rh at its relaxed geometry. Source: Alexandria, functional GGA-PBE.

The structure in CIF format:
```
data_Ga5Rh
_chemical_formula_sum 'Ga10 Rh2'
_cell_length_a 3.878
_cell_length_b 12.385
_cell_length_c 4.840
_cell_angle_alpha 90.00
_cell_angle_beta 113.28
_cell_angle_gamma 90.00
_symmetry_space_group_name_H-M 'P 1 21/m 1'
_symmetry_Int_Tables_number 11
loop_
_symmetry_equiv_pos_as_xyz
'x,y,z'
'-x,-y,-z'
'-x,y+1/2,-z'
'x,-y+1/2,z'
loop_
_atom_site_label
_atom_site_fract_x
_atom_site_fract_y
_atom_site_fract_z
Ga1 0.055 0.123 0.114
Ga2 0.225 0.568 0.448
Ga3 0.349 0.250 0.703
Rh1 0.363 0.750 0.718
```

Summary:
E_form, eV per atom: -0.28

# 20
Crystalline Ba2Mg2Zn at its relaxed geometry. Source: Alexandria, functional GGA-PBE.

The structure in CIF format:
```
data_Ba2Mg2Zn
_chemical_formula_sum 'Ba4 Mg4 Zn2'
_cell_length_a 7.704
_cell_length_b 7.704
_cell_length_c 5.836
_cell_angle_alpha 90.00
_cell_angle_beta 90.00
_cell_angle_gamma 90.00
_symmetry_space_group_name_H-M 'P 4/m b m'
_symmetry_Int_Tables_number 127
_symmetry_space_group_name_Hall '-P 4 2ab'
loop_
_atom_site_label
_atom_site_fract_x
_atom_site_fract_y
_atom_site_fract_z
Ba1 0.178 0.322 0.000
Mg1 0.140 0.640 0.500
Zn1 0.000 0.000 0.500
```

Summary:
E_form, eV per atom: 0.05

# 21
Crystalline Y2BiSb at its relaxed geometry. Source: Alexandria, functional GGA-PBE.

The structure in CIF format:
```
data_Y2BiSb
_chemical_formula_sum 'Y8 Bi4 Sb4'
_cell_length_a 8.830
_cell_length_b 7.626
_cell_length_c 7.551
_cell_angle_alpha 90.00
_cell_angle_beta 90.00
_cell_angle_gamma 90.00
_symmetry_space_group_name_H-M 'P b c m'
_symmetry_Int_Tables_number 57
loop_
_symmetry_equiv_pos_as_xyz
'x,y,z'
'-x,-y,-z'
'-x,-y,z+1/2'
'x,y,-z+1/2'
'x,-y+1/2,-z'
'-x,y+1/2,z'
'-x,y+1/2,-z+1/2'
'x,-y+1/2,z+1/2'
loop_
_atom_site_label
_atom_site_fract_x
_atom_site_fract_y
_atom_site_fract_z
Y1 0.119 0.250 0.000
Y2 0.369 0.750 0.000
Bi1 0.375 0.087 0.250
Sb1 0.125 0.581 0.250
```

Summary:
Formation energy (no corrections), eV/atom: -0.97